Here is an optimized crystal structure of Cd2PW from Alexandria. Energies are from PBE.

abc: 3.209 4.735 10.824
angles: 90.00 90.00 90.00
Space group Cmm2 (No. 35)
One atom of each set of equivalent atoms:
Cd 0.000 0.000 0.000
Cd 0.000 0.500 0.280
P 0.000 0.000 0.602
W 0.000 0.500 0.766

Calculated values
- ΔH_f (0 K): 0.279 eV/atom
- Excess energy over the best structure of this formula in the dataset: 159 meV per atom

Here is an optimized crystal structure of V2CoNi7 from Alexandria. Energies are from PBE.

abc: 7.487 13.973 2.441
angles: 90.00 90.00 90.00
Space group Cmmm (No. 65)
One atom of each set of equivalent atoms:
V 0.000 0.175 0.000
Co 0.000 0.500 0.500
Ni 0.000 0.000 0.000
Ni 0.000 0.322 0.500
Ni 0.231 0.408 0.000

Calculated values
- ΔH_f (0 K): 0.357 eV/atom

Here is an optimized crystal structure of NpPaTe from Alexandria. Energies are from PBE.

abc: 7.023 3.762 11.100
angles: 90.00 90.00 90.00
Space group Pnma (No. 62)
One atom of each set of equivalent atoms:
Np 0.012 0.250 0.138
Pa 0.204 0.250 0.933
Te 0.135 0.250 0.649

Calculated values
- E_form (uncorrected): -0.12 eV/atom

Here is an optimized crystal structure of YOsPb from Alexandria. Energies are from PBE.

abc: 6.695 6.695 6.695
angles: 90.00 90.00 90.00
Space group F-43m (No. 216)
One atom of each set of equivalent atoms:
Y 0.000 0.000 0.000
Os 0.250 0.250 0.250
Pb 0.000 0.000 0.500

Calculated values
- ΔH_f (0 K): 0.142 eV/atom

Here is an optimized crystal structure of Tb3Ga4Rh2 from Alexandria. Energies are from PBE.

abc: 10.806 4.315 8.347
angles: 90.00 109.16 90.00
Space group C2/m (No. 12)
One atom of each set of equivalent atoms:
Tb 0.000 0.000 0.000
Tb 0.131 0.500 0.690
Ga 0.091 0.000 0.408
Ga 0.220 0.500 0.072
Rh 0.180 0.500 0.352

Calculated values
- ΔH_f (0 K): -0.770 eV/atom
- Excess energy over the best structure of this formula in the dataset: 8 meV per atom

Here is an optimized crystal structure of MnInSn2S5 from Alexandria. Energies are from PBE.

abc: 3.830 18.266 12.685
angles: 90.00 90.00 90.00
Space group Cmc2_1 (No. 36)
One atom of each set of equivalent atoms:
Mn 0.000 0.073 0.000
In 0.000 0.282 0.663
Sn 0.000 0.352 0.320
Sn 0.000 0.414 0.980
S 0.000 0.017 0.375
S 0.000 0.141 0.675
S 0.000 0.198 0.024
S 0.000 0.208 0.303
S 0.000 0.462 0.593

Calculated values
- E_form (uncorrected): -0.43 eV/atom

Here is an optimized crystal structure of ReNCl2 from Alexandria. Energies are from PBE.

abc: 3.1233 3.1233 21.9225
angles: 90.00 90.00 120.00
Space group R-3m (No. 166, hexagonal axes)
One atom of each set of equivalent atoms:
Re 0.0000 0.0000 0.0000
N 0.0000 0.0000 0.5000
Cl 0.0000 0.0000 0.4128

Calculated values
- E_form (uncorrected): 1.65 eV/atom
- Excess energy over the best structure of this formula in the dataset: 237 meV per atom

Here is an optimized crystal structure of Tb2Th2Mg from Alexandria. Energies are from PBE.

abc: 3.613 3.613 23.218
angles: 90.00 90.00 90.00
Space group I4/mmm (No. 139)
One atom of each set of equivalent atoms:
Tb 0.000 0.000 0.092
Th 0.000 0.000 0.302
Mg 0.000 0.000 0.500

Calculated values
- ΔH_f (0 K): -0.028 eV/atom

Here is an optimized crystal structure of PmCuSeS from Alexandria. Energies are from PBE.

abc: 4.3579 4.3579 32.9120
angles: 90.00 90.00 120.00
Space group R-3m (No. 166, hexagonal axes)
One atom of each set of equivalent atoms:
Pm 0.0000 0.0000 0.1059
Cu 0.0000 0.0000 0.3023
Se 0.0000 0.0000 0.3799
S 0.0000 0.0000 0.1975

Calculated values
- E_form (uncorrected): -1.21 eV/atom

Here is an optimized crystal structure of Tl2SnHgBr6 from Alexandria. Energies are from PBE.

abc: 7.936 7.950 8.091
angles: 119.30 90.09 119.93
Space group P1 (No. 1)
One atom of each set of equivalent atoms:
Tl 0.000 0.000 0.000
Tl 0.499 0.999 0.500
Sn 0.717 0.434 0.150
Hg 0.217 0.436 0.653
Br 0.049 0.931 0.377
Br 0.372 0.917 0.868
Br 0.445 0.495 0.376
Br 0.544 0.495 0.866
Br 0.882 0.328 0.378
Br 0.952 0.324 0.868

Calculated values
- E_form (uncorrected): -0.69 eV/atom

Here is an optimized crystal structure of K2Rb2H from Alexandria. Energies are from PBE.

abc: 8.332 8.332 8.819
angles: 90.00 90.00 90.00
Space group P4/mbm (No. 127)
One atom of each set of equivalent atoms:
K 0.180 0.320 0.000
Rb 0.220 0.720 0.500
H 0.000 0.000 0.500

Calculated values
- Excess energy over the best structure of this formula in the dataset: 0 meV per atom

Here is an optimized crystal structure of La3Ga8Cu3 from Alexandria. Energies are from PBE.

abc: 16.160 4.445 9.449
angles: 90.00 125.59 90.00
Space group C2/m (No. 12)
One atom of each set of equivalent atoms:
La 0.000 0.000 0.000
La 0.199 0.500 0.695
Ga 0.004 0.500 0.308
Ga 0.143 0.000 0.859
Ga 0.149 0.000 0.424
Ga 0.155 0.500 0.031
Cu 0.000 0.000 0.500
Cu 0.155 0.500 0.297

Calculated values
- ΔH_f (0 K): -0.463 eV/atom
- Excess energy over the best structure of this formula in the dataset: 19 meV per atom

Here is an optimized crystal structure of AcSm2Ho5 from Alexandria. Energies are from PBE.

abc: 7.218 14.447 5.097
angles: 90.00 90.00 90.00
Space group Pbam (No. 55)
One atom of each set of equivalent atoms:
Ac 0.000 0.000 0.000
Sm 0.244 0.372 0.500
Ho 0.000 0.500 0.000
Ho 0.003 0.747 0.000
Ho 0.249 0.628 0.500

Calculated values
- ΔH_f (0 K): 0.038 eV/atom
- Excess energy over the best structure of this formula in the dataset: 5 meV per atom

Here is an optimized crystal structure of DyThTlGa from Alexandria. Energies are from PBE.

abc: 7.524 7.524 7.524
angles: 90.00 90.00 90.00
Space group F-43m (No. 216)
One atom of each set of equivalent atoms:
Dy 0.000 0.000 0.000
Th 0.000 0.000 0.500
Tl 0.250 0.250 0.750
Ga 0.250 0.250 0.250

Calculated values
- ΔH_f (0 K): -0.291 eV/atom

Here is an optimized crystal structure of NaBi2Pt from Alexandria. Energies are from PBE.

abc: 5.022 9.942 18.225
angles: 90.00 90.00 90.00
Space group Immm (No. 71)
One atom of each set of equivalent atoms:
Na 0.000 0.000 0.199
Na 0.000 0.229 0.000
Bi 0.000 0.000 0.416
Bi 0.000 0.336 0.198
Bi 0.000 0.500 0.416
Pt 0.000 0.253 0.350

Calculated values
- ΔH_f (0 K): -0.237 eV/atom
- Excess energy over the best structure of this formula in the dataset: 80 meV per atom

Here is an optimized crystal structure of KTc2Hg from Alexandria. Energies are from PBE.

abc: 10.128 3.658 6.150
angles: 90.00 103.92 90.00
Space group C2/m (No. 12)
One atom of each set of equivalent atoms:
K 0.000 0.000 0.000
Tc 0.230 0.000 0.598
Hg 0.000 0.500 0.500

Calculated values
- ΔH_f (0 K): 0.819 eV/atom

Here is an optimized crystal structure of CrTeRh2 from Alexandria. Energies are from PBE.

abc: 6.351 6.351 6.351
angles: 90.00 90.00 90.00
Space group F-43m (No. 216)
One atom of each set of equivalent atoms:
Cr 0.000 0.000 0.000
Te 0.250 0.250 0.750
Rh 0.000 0.000 0.500
Rh 0.250 0.250 0.250

Calculated values
- E_form (uncorrected): 0.20 eV/atom

Here is an optimized crystal structure of Ti3InCo from Alexandria. Energies are from PBE.

abc: 9.847 4.110 8.525
angles: 90.00 92.61 90.00
Space group C2/m (No. 12)
One atom of each set of equivalent atoms:
Ti 0.092 0.000 0.381
Ti 0.104 0.500 0.638
Ti 0.120 0.500 0.134
In 0.099 0.000 0.881
Co 0.240 0.500 0.389

Calculated values
- ΔH_f (0 K): -0.119 eV/atom
- Excess energy over the best structure of this formula in the dataset: 0 meV per atom

Here is an optimized crystal structure of LiOsRh from Alexandria. Energies are from PBE.

abc: 3.8246 3.8246 9.4053
angles: 90.00 90.00 120.00
Space group P6_3/mmc (No. 194)
One atom of each set of equivalent atoms:
Li 0.3333 0.6667 0.2500
Os 0.0000 0.0000 0.0000
Rh 0.0000 0.0000 0.2500

Calculated values
- ΔH_f (0 K): 1.956 eV/atom
- Excess energy over the best structure of this formula in the dataset: 1967 meV per atom

Here is an optimized crystal structure of Pu3H6Rh2 from Alexandria. Energies are from PBE.

abc: 3.744 3.744 18.596
angles: 90.00 90.00 90.00
Space group I4/mmm (No. 139)
One atom of each set of equivalent atoms:
Pu 0.000 0.000 0.000
Pu 0.000 0.000 0.183
H 0.000 0.000 0.315
H 0.000 0.500 0.089
Rh 0.000 0.000 0.412

Calculated values
- E: -162.04 eV for the cell shown